Entry 1:
CuPdI2N: PBEsol geometry, meta-GGA SCAN.

a b c (Å): 3.682 5.520 5.520
angles (deg): 90.00 90.00 90.00
Atoms (fractional coordinates):
1 I 0.000 0.000 0.500
2 I 0.000 0.500 0.000
3 Cu 0.500 0.500 0.500
4 Pd 0.000 0.000 0.000
5 N 0.500 0.000 0.000

## Properties
- Formation energy from raw total energies: 0.846 eV/atom
- Raw total energy: -126.516 eV per formula unit
- Crystal system: tetragonal
- N(E_F): 1.74 states/eV/cell

Entry 2:
CuSeI2N: PBEsol geometry, meta-GGA SCAN.

a b c (Å): 3.655 5.761 5.761
angles (deg): 90.00 90.00 90.00
Atoms (fractional coordinates):
1 I 0.000 0.000 0.500
2 I 0.000 0.500 0.000
3 Cu 0.500 0.500 0.500
4 Se 0.000 0.000 0.000
5 N 0.500 0.000 0.000

## Properties
- Formation energy from raw total energies: 1.066 eV/atom
- Raw total energy: -112.723 eV per formula unit
- Crystal system: tetragonal
- N(E_F): 0.91 states/eV/cell

Question: Which formula does entry 2 have?
Answer: CuSeI2N